# 1
Na2ZnBi2 (SCAN, PBEsol geometry); volume = 286 Å³ per cell; calculated formation energy = -0.221 eV/atom
1.0
7.438 0.000 0.000
0.000 7.438 0.000
0.000 0.000 5.173
Na Zn Bi
4 2 4
direct
0.162 0.338 0.000
0.338 0.838 0.000
0.662 0.162 0.000
0.838 0.662 0.000
0.000 0.000 0.500
0.500 0.500 0.500
0.151 0.651 0.500
0.349 0.151 0.500
0.651 0.849 0.500
0.849 0.349 0.500



# 2
Na2ZrBi (SCAN, PBEsol geometry); volume = 224 Å³ per cell; calculated formation energy = 0.378 eV/atom
1.0
-4.392 4.392 2.903
4.392 -4.392 2.903
4.392 4.392 -2.903
Na Zr Bi
4 2 2
direct
0.105 0.625 0.980
0.375 0.355 0.480
0.645 0.125 0.020
0.875 0.895 0.520
0.250 0.750 0.500
0.500 0.500 0.000
0.000 0.000 0.000
0.750 0.250 0.500



# 3
Na3ZrBi (SCAN, PBEsol geometry); volume = 188 Å³ per cell; calculated formation energy = 0.735 eV/atom
1.0
5.727 0.000 0.000
0.000 5.727 0.000
0.000 0.000 5.727
Na Zr Bi
3 1 1
direct
0.000 0.000 0.500
0.000 0.500 0.000
0.500 0.000 0.000
0.500 0.500 0.500
0.000 0.000 0.000



# 4
NaZr3Bi (SCAN, PBEsol geometry); volume = 120 Å³ per cell; calculated formation energy = 1.091 eV/atom
1.0
4.939 0.000 0.000
0.000 4.939 0.000
0.000 0.000 4.939
Na Zr Bi
1 3 1
direct
0.000 0.000 0.000
0.000 0.000 0.500
0.000 0.500 0.000
0.500 0.000 0.000
0.500 0.500 0.500



# 5
Na2ZrBi2 (SCAN, PBEsol geometry); volume = 258 Å³ per cell; calculated formation energy = -0.093 eV/atom
1.0
8.571 0.000 0.000
0.000 8.571 0.000
0.000 0.000 3.509
Na Zr Bi
4 2 4
direct
0.120 0.380 0.000
0.380 0.880 0.000
0.620 0.120 0.000
0.880 0.620 0.000
0.000 0.000 0.500
0.500 0.500 0.500
0.182 0.682 0.500
0.318 0.182 0.500
0.682 0.818 0.500
0.818 0.318 0.500



# 6
Nb3Bi (SCAN, PBEsol geometry); volume = 150 Å³ per cell; calculated formation energy = -0.095 eV/atom
1.0
5.318 0.000 0.000
0.000 5.318 0.000
0.000 0.000 5.318
Nb Bi
6 2
direct
0.000 0.250 0.500
0.000 0.750 0.500
0.250 0.500 0.000
0.500 0.000 0.250
0.500 0.000 0.750
0.750 0.500 0.000
0.000 0.000 0.000
0.500 0.500 0.500



# 7
NdTiNbBi2O9 (SCAN, PBEsol geometry); volume = 369 Å³ per cell; E_tot = -24.426 eV per atom
1.0
5.418 0.000 0.000
0.000 5.433 0.000
-2.612 0.000 12.520
Nd Ti Nb Bi O
2 2 2 4 18
direct
0.244 0.000 0.000
0.756 0.500 0.000
0.332 0.530 0.171
0.668 0.030 0.829
0.174 0.533 0.828
0.826 0.033 0.172
0.024 0.966 0.602
0.427 0.957 0.397
0.573 0.457 0.603
0.976 0.466 0.398
0.021 0.534 0.683
0.029 0.766 0.124
0.094 0.269 0.125
0.244 0.730 0.502
0.259 0.230 0.502
0.326 0.561 0.999
0.329 0.545 0.311
0.366 0.850 0.828
0.473 0.344 0.828
0.527 0.844 0.172
0.634 0.350 0.172
0.671 0.045 0.689
0.674 0.061 0.001
0.741 0.730 0.498
0.756 0.230 0.498
0.906 0.769 0.875
0.971 0.266 0.876
0.979 0.034 0.317



# 8
NbSiNi2Bi (SCAN, PBEsol geometry); volume = 109 Å³ per cell; E_tot = -29.303 eV per atom
1.0
4.539 0.000 0.000
0.000 4.539 0.000
0.000 0.000 5.282
Nb Si Ni Bi
1 1 2 1
direct
0.000 0.000 0.000
0.500 0.500 0.000
0.000 0.500 0.500
0.500 0.000 0.500
0.000 0.000 0.500



# 9
NbBiO4 (SCAN, PBEsol geometry); volume = 94 Å³ per cell; E_tot = -24.814 eV per atom
1.0
3.010 -2.857 0.000
3.010 2.857 0.000
-2.185 0.000 5.444
Nb Bi O
1 1 4
direct
0.000 0.000 0.000
0.363 0.637 0.500
0.051 0.467 0.051
0.218 0.066 0.352
0.533 0.949 0.949
0.934 0.782 0.648



# 10
Nb3Bi5O15 (SCAN, PBEsol geometry); volume = 657 Å³ per cell; E_tot = -27.379 eV per atom
1.0
21.603 0.000 0.000
0.000 5.476 0.000
0.000 0.000 5.558
Nb Bi O
6 10 30
direct
0.000 0.000 0.000
0.000 0.500 0.500
0.392 0.001 0.475
0.392 0.499 0.975
0.608 0.501 0.975
0.608 0.999 0.475
0.123 0.519 0.058
0.123 0.981 0.558
0.242 0.011 0.023
0.242 0.489 0.523
0.500 0.000 0.053
0.500 0.500 0.553
0.758 0.511 0.523
0.758 0.989 0.023
0.877 0.019 0.558
0.877 0.481 0.058
0.023 0.245 0.711
0.023 0.255 0.211
0.087 0.602 0.435
0.087 0.898 0.935
0.189 0.247 0.769
0.189 0.253 0.269
0.193 0.750 0.257
0.193 0.750 0.757
0.309 0.019 0.469
0.309 0.481 0.969
0.409 0.718 0.678
0.409 0.782 0.178
0.414 0.246 0.712
0.414 0.254 0.212
0.500 0.000 0.440
0.500 0.500 0.940
0.586 0.746 0.212
0.586 0.754 0.712
0.591 0.218 0.178
0.591 0.282 0.678
0.691 0.519 0.969
0.691 0.981 0.469
0.807 0.250 0.257
0.807 0.250 0.757
0.811 0.747 0.269
0.811 0.753 0.769
0.913 0.102 0.935
0.913 0.398 0.435
0.977 0.745 0.211
0.977 0.755 0.711



# 11
NbBiO4 (SCAN, PBEsol geometry); volume = 335 Å³ per cell; E_tot = -24.915 eV per atom
1.0
5.727 0.000 0.000
0.000 11.659 0.000
0.000 0.000 5.020
Nb Bi O
4 4 16
direct
0.150 0.250 0.250
0.350 0.750 0.250
0.650 0.250 0.750
0.850 0.750 0.750
0.250 0.000 0.725
0.250 0.500 0.775
0.750 0.000 0.275
0.750 0.500 0.225
0.078 0.099 0.418
0.078 0.401 0.082
0.143 0.691 0.506
0.143 0.809 0.994
0.357 0.191 0.994
0.357 0.309 0.506
0.422 0.599 0.082
0.422 0.901 0.418
0.578 0.099 0.582
0.578 0.401 0.918
0.643 0.691 0.494
0.643 0.809 0.006
0.857 0.191 0.006
0.857 0.309 0.494
0.922 0.599 0.918
0.922 0.901 0.582



# 12
NbBiO4 (SCAN, PBEsol geometry); volume = 326 Å³ per cell; E_tot = -24.914 eV per atom
1.0
5.516 0.000 0.000
-0.364 7.656 0.000
-0.005 -1.513 7.711
Nb Bi O
4 4 16
direct
0.220 0.346 0.179
0.249 0.325 0.679
0.751 0.675 0.321
0.780 0.654 0.821
0.235 0.878 0.120
0.289 0.831 0.621
0.711 0.169 0.379
0.765 0.122 0.880
0.010 0.895 0.825
0.039 0.828 0.368
0.088 0.558 0.717
0.140 0.324 0.942
0.317 0.331 0.445
0.431 0.552 0.208
0.448 0.108 0.676
0.462 0.157 0.136
0.538 0.843 0.864
0.552 0.892 0.324
0.569 0.448 0.792
0.683 0.669 0.555
0.860 0.676 0.058
0.912 0.442 0.283
0.961 0.172 0.632
0.990 0.105 0.175